Compound: Mn2BeCu
Source: Alexandria via LeMat-Bulk
Functional: PBE
Structure: relaxed

Cell: 2.750 2.749 6.093 Å, 90.00 90.00 90.00°
Last column: magnetic moment on the atom in μB.
Atoms (fractional coordinates):
Be  0.500  0.500  0.250  -0.10
Mn  0.000  0.000  0.025  2.96
Mn  0.000  0.000  0.475  2.96
Cu  0.500  0.500  0.750  0.14

Results
The formation energy is 0.11 eV per atom. Its total energy is -6.435 eV/atom. The mass density comes out at 6576 kg/m³. The space group is P4/mmm, No. 123.

---

Compound: Ac2VSn
Source: Alexandria via LeMat-Bulk
Functional: PBE
Structure: relaxed

Cell: 3.629 3.629 11.908 Å, 81.24 81.24 60.00°
Last column: magnetic moment on the atom in μB.
Atoms (fractional coordinates):
Ac  0.086  0.086  0.742  0.02
Ac  0.914  0.914  0.258  0.02
Sn  0.500  0.500  0.500  0.00
V  0.000  0.000  0.000  2.84

Results
The formation energy is 0.58 eV per atom. Its total energy is -4.754 eV/atom. The mass density comes out at 7747 kg/m³. The space group is R-3m, No. 166.

---

Compound: URe2Si
Source: Alexandria via LeMat-Bulk
Functional: PBE
Structure: relaxed

Cell: 2.978 2.978 7.228 Å, 90.00 90.00 90.00°
Atoms (fractional coordinates):
Re  0.000  0.000  0.798
Re  0.000  0.000  0.202
Si  0.500  0.500  0.000
U  0.500  0.500  0.500

Results
Its total energy is -10.322 eV/atom. The calculation puts the energy above the most stable polymorph in this dataset at 141 meV per atom. The mass density comes out at 16546 kg/m³. The formation energy (no corrections) is 0.079 eV per atom. The space group is P4/mmm, No. 123.

---

Compound: Na2HgBi3
Source: Alexandria via LeMat-Bulk
Functional: PBE
Structure: relaxed

Cell: 6.501 6.501 11.012 Å, 115.13 115.13 63.98°
Atoms (fractional coordinates):
Na  0.750  0.250  0.500
Na  0.752  0.248  0.000
Na  0.250  0.750  0.500
Na  0.248  0.752  0.000
Hg  0.667  0.667  0.334
Hg  0.333  0.333  0.666
Bi  0.833  0.833  0.166
Bi  0.666  0.666  0.834
Bi  0.167  0.167  0.834
Bi  0.334  0.334  0.166
Bi  0.168  0.168  0.335
Bi  0.832  0.832  0.665

Results
The formation energy is -0.15 eV per atom. Its total energy is -2.582 eV/atom. The calculation puts the energy above the most stable polymorph in this dataset at 44 meV per atom. The mass density comes out at 8014 kg/m³. The space group is Fmmm, No. 69.

---

Compound: As2IBrCl
Source: Alexandria via LeMat-Bulk
Functional: PBE
Structure: relaxed

Cell: 5.628 5.628 5.630 Å, 90.00 90.00 90.00°
Last column: magnetic moment on the atom in μB.
Atoms (fractional coordinates):
I  0.000  0.000  0.000  -0.04
As  0.000  0.500  0.000  0.57
As  0.500  0.000  0.000  0.57
Br  0.000  0.000  0.500  0.06
Cl  0.500  0.500  0.500  0.11

Results
Its total energy is -1.943 eV/atom. The calculation puts the energy above the most stable polymorph in this dataset at 82 meV per atom. The mass density comes out at 3651 kg/m³. The formation energy (no corrections) is 0.931 eV per atom. The space group is P4/mmm, No. 123.

---

Compound: MgNi2
Source: Alexandria via LeMat-Bulk
Functional: PBE
Structure: relaxed

Cell: 5.082 5.082 6.072 Å, 74.43 74.43 30.99°
Last column: magnetic moment on the atom in μB.
Atoms (fractional coordinates):
Mg  0.022  0.022  0.220  0.00
Mg  0.978  0.978  0.780  0.00
Ni  0.343  0.343  0.535  0.07
Ni  0.699  0.699  0.863  0.04
Ni  0.301  0.301  0.137  0.04
Ni  0.657  0.657  0.465  0.07

Results
The formation energy is -0.06 eV per atom. Its total energy is -4.441 eV/atom. The mass density comes out at 6067 kg/m³. The space group is C2/m, No. 12.

---

Compound: Pm8Te3AsSe4
Source: Alexandria via LeMat-Bulk
Functional: PBE
Structure: relaxed

Cell: 8.621 8.620 8.621 Å, 120.00 120.00 90.00°
Atoms (fractional coordinates):
Pm  0.244  0.764  0.020
Pm  0.244  0.764  0.488
Pm  0.239  0.217  0.478
Pm  0.776  0.764  0.020
Pm  0.224  0.236  0.980
Pm  0.761  0.783  0.522
Pm  0.756  0.236  0.512
Pm  0.756  0.236  0.980
Te  0.500  0.500  0.000
Te  0.500  0.500  0.500
Te  0.000  0.500  0.500
As  0.000  0.500  0.000
Se  0.500  0.000  0.000
Se  0.500  0.000  0.500
Se  0.000  0.000  0.000
Se  0.000  0.000  0.500

Results
Its total energy is -5.779 eV/atom. The mass density comes out at 7087 kg/m³. The formation energy (no corrections) is -1.653 eV per atom. The space group is R-3m, No. 166.

---

Compound: TlNF2
Source: Alexandria via LeMat-Bulk
Functional: PBE
Structure: relaxed

Cell: 4.876 4.876 7.191 Å, 70.18 70.18 90.00°
Last column: magnetic moment on the atom in μB.
Atoms (fractional coordinates):
Tl  0.000  0.000  0.000  0.02
Tl  0.750  0.250  0.500  0.02
N  0.500  0.500  0.000  1.32
N  0.250  0.750  0.500  1.32
F  0.254  0.125  0.250  0.09
F  0.496  0.625  0.250  0.08
F  0.375  0.746  0.750  0.05
F  0.875  0.504  0.750  0.04

Results
Its total energy is -3.352 eV/atom. The calculation puts the energy above the most stable polymorph in this dataset at 306 meV per atom. The mass density comes out at 5676 kg/m³. The formation energy (no corrections) is 0.257 eV per atom. The space group is I-42d, No. 122.

---

Compound: Co3Cu
Source: Alexandria via LeMat-Bulk
Functional: PBE
Structure: relaxed

Cell: 4.343 4.343 4.343 Å, 131.74 131.74 70.64°
Last column: magnetic moment on the atom in μB.
Atoms (fractional coordinates):
Co  0.750  0.250  0.500  1.64
Co  0.250  0.750  0.500  1.64
Co  0.500  0.500  0.000  1.69
Cu  0.000  0.000  0.000  0.12

Results
The formation energy is 0.12 eV per atom. Its total energy is -6.233 eV/atom. The mass density comes out at 8930 kg/m³. The space group is I4/mmm, No. 139.

---

Compound: Nd2Dy6Th
Source: Alexandria via LeMat-Bulk
Functional: PBE
Structure: relaxed

Cell: 3.499 9.793 10.407 Å, 118.07 70.33 90.00°
Atoms (fractional coordinates):
Nd  0.334  0.333  0.667
Nd  0.666  0.667  0.333
Dy  0.832  0.000  0.669
Dy  0.168  0.331  0.331
Dy  0.168  0.000  0.331
Dy  0.500  0.331  0.000
Dy  0.832  0.669  0.669
Dy  0.500  0.669  0.000
Th  0.000  0.000  0.000

Results
The formation energy is 0.06 eV per atom. Its total energy is -4.891 eV/atom. The calculation puts the energy above the most stable polymorph in this dataset at 0 meV per atom. The mass density comes out at 8536 kg/m³. The space group is Cmmm, No. 65.

---

Compound: MgHg2Te
Source: Alexandria via LeMat-Bulk
Functional: PBE
Structure: relaxed

Cell: 3.491 3.491 9.050 Å, 90.00 90.00 90.00°
Atoms (fractional coordinates):
Hg  0.000  0.000  0.019
Hg  0.500  0.500  0.286
Mg  0.000  0.000  0.501
Te  0.500  0.500  0.694

Results
Its total energy is -1.452 eV/atom. The calculation puts the energy above the most stable polymorph in this dataset at 163 meV per atom. The mass density comes out at 8326 kg/m³. The formation energy (no corrections) is -0.118 eV per atom. The space group is P4mm, No. 99.

---

Compound: CdSnSbPb2
Source: Alexandria via LeMat-Bulk
Functional: PBE
Structure: relaxed

Cell: 5.877 5.280 5.877 Å, 90.00 90.00 90.00°
Atoms (fractional coordinates):
Pb  0.000  0.000  0.500
Pb  0.500  0.000  0.000
Sb  0.500  0.500  0.500
Sn  0.000  0.000  0.000
Cd  0.000  0.500  0.000

Results
Its total energy is -2.796 eV/atom. The mass density comes out at 6986 kg/m³. The formation energy (no corrections) is 0.495 eV per atom. The space group is P4/mmm, No. 123.

---

Compound: InAsH3
Source: Alexandria via LeMat-Bulk
Functional: PBE
Structure: relaxed

Cell: 3.936 3.936 3.936 Å, 90.00 90.00 90.00°
Atoms (fractional coordinates):
H  0.000  0.500  0.000
H  0.000  0.000  0.500
H  0.500  0.000  0.000
As  0.500  0.500  0.500
In  0.000  0.000  0.000

Results
Its total energy is -2.641 eV/atom. The calculation puts the energy above the most stable polymorph in this dataset at 369 meV per atom. The mass density comes out at 5250 kg/m³. The space group is Pm-3m, No. 221.

---

Compound: LiIrPt
Source: Alexandria via LeMat-Bulk
Functional: PBE
Structure: relaxed

Cell: 2.728 2.728 13.363 Å, 90.00 90.00 120.00°
Atoms (fractional coordinates):
Ir  0.610  0.220  0.000
Ir  0.278  0.557  0.500
Pt  0.612  0.223  0.327
Pt  0.612  0.223  0.673
Li  0.277  0.555  0.837
Li  0.277  0.555  0.163

Results
The formation energy is -0.17 eV per atom. Its total energy is -5.778 eV/atom. The calculation puts the energy above the most stable polymorph in this dataset at 0 meV per atom. The mass density comes out at 15208 kg/m³. The space group is Amm2, No. 38.

---

Compound: AlCuAs2
Source: Alexandria via LeMat-Bulk
Functional: PBE
Structure: relaxed

Cell: 8.806 8.806 8.806 Å, 19.70 19.70 19.70°
Atoms (fractional coordinates):
As  0.993  0.993  0.993
As  0.507  0.507  0.507
Al  0.750  0.750  0.750
Cu  0.250  0.250  0.250

Results
The formation energy is 0.23 eV per atom. Its total energy is -4.058 eV/atom. The mass density comes out at 5878 kg/m³. The space group is R-3m, No. 166.

---

Compound: Pm5Zn
Source: Alexandria via LeMat-Bulk
Functional: PBE
Structure: relaxed

Cell: 4.953 4.870 8.021 Å, 107.67 90.00 90.00°
Atoms (fractional coordinates):
Zn  0.000  0.000  0.000
Pm  0.500  0.835  0.670
Pm  0.000  0.660  0.320
Pm  0.500  0.500  0.000
Pm  0.000  0.340  0.680
Pm  0.500  0.165  0.330

Results
The formation energy is 0.00 eV per atom. Its total energy is -4.168 eV/atom. The calculation puts the energy above the most stable polymorph in this dataset at 101 meV per atom. The mass density comes out at 7120 kg/m³. The space group is Cmmm, No. 65.

---

Compound: IrWBr2
Source: Alexandria via LeMat-Bulk
Functional: PBE
Structure: relaxed

Cell: 3.034 3.034 9.086 Å, 90.00 90.00 90.00°
Atoms (fractional coordinates):
Ir  0.000  0.000  0.547
Br  0.000  0.000  0.919
Br  0.500  0.500  0.314
W  0.500  0.500  0.720

Results
Its total energy is -6.031 eV/atom. The calculation puts the energy above the most stable polymorph in this dataset at 188 meV per atom. The mass density comes out at 10641 kg/m³. The formation energy (no corrections) is 0.259 eV per atom. The space group is P4mm, No. 99.

---

Compound: Ca2Ga12Pt
Source: Alexandria via LeMat-Bulk
Functional: PBE
Structure: relaxed

Cell: 6.088 6.088 15.945 Å, 90.00 90.00 90.00°
Atoms (fractional coordinates):
Ca  0.500  0.000  0.250
Ca  0.000  0.500  0.250
Ca  0.000  0.500  0.750
Ca  0.500  0.000  0.750
Ga  0.500  0.500  0.810
Ga  0.000  0.000  0.810
Ga  0.750  0.750  0.909
Ga  0.250  0.750  0.909
Ga  0.000  0.000  0.346
Ga  0.250  0.750  0.091
Ga  0.829  0.329  0.568
Ga  0.500  0.500  0.346
Ga  0.250  0.250  0.909
Ga  0.750  0.750  0.091
Ga  0.329  0.171  0.568
Ga  0.671  0.171  0.432
Ga  0.000  0.000  0.654
Ga  0.171  0.329  0.432
Ga  0.250  0.250  0.091
Ga  0.829  0.671  0.432
Ga  0.671  0.829  0.568
Ga  0.000  0.000  0.190
Ga  0.171  0.671  0.568
Ga  0.500  0.500  0.654
Ga  0.750  0.250  0.909
Ga  0.500  0.500  0.190
Ga  0.329  0.829  0.432
Ga  0.750  0.250  0.091
Pt  0.500  0.000  0.000
Pt  0.000  0.500  0.000

Results
The formation energy is -0.38 eV per atom. Its total energy is -3.467 eV/atom. The mass density comes out at 6248 kg/m³. The space group is P4/nbm, No. 125.

---

Compound: NdCd2InSn
Source: Alexandria via LeMat-Bulk
Functional: PBE
Structure: relaxed

Cell: 4.861 8.360 6.571 Å, 90.00 90.00 106.90°
Atoms (fractional coordinates):
Nd  0.411  0.822  0.750
Nd  0.589  0.178  0.250
Cd  0.200  0.401  0.009
Cd  0.800  0.599  0.991
Cd  0.200  0.401  0.491
Cd  0.800  0.599  0.509
In  0.626  0.253  0.750
In  0.374  0.747  0.250
Sn  0.000  0.000  0.000
Sn  0.000  0.000  0.500

Results
The formation energy is -0.35 eV per atom. Its total energy is -3.018 eV/atom. The mass density comes out at 7832 kg/m³. The space group is Cmcm, No. 63.

---

Compound: Si2RhAu
Source: Alexandria via LeMat-Bulk
Functional: PBE
Structure: relaxed

Cell: 7.805 7.805 7.805 Å, 22.63 22.63 22.63°
Atoms (fractional coordinates):
Au  0.507  0.507  0.507
Rh  0.738  0.738  0.738
Si  0.000  0.000  0.000
Si  0.256  0.256  0.256

Results
Its total energy is -5.436 eV/atom. The calculation puts the energy above the most stable polymorph in this dataset at 215 meV per atom. The mass density comes out at 9577 kg/m³. The formation energy (no corrections) is -0.068 eV per atom. The space group is R3m, No. 160.